# 1
This record from Alexandria via LeMat-Bulk describes crystalline Pm4NdY7 at its relaxed geometry. The functional is PBE.

a b c (Å): 6.8967 6.6115 11.9156
angles (deg): 75.16 50.06 81.83
Element x y z (fractional)
Pm1 0.5298 0.6398 0.2845
Pm2 0.4702 0.3602 0.7155
Pm3 0.6916 0.8357 0.6923
Pm4 0.3084 0.1643 0.3077
Nd1 0.0000 0.0000 0.0000
Y1 0.7992 0.5127 0.9507
Y2 0.2008 0.4873 0.0493
Y3 0.0529 0.3224 0.6389
Y4 0.9471 0.6776 0.3611
Y5 0.2767 0.8137 0.6159
Y6 0.5000 0.0000 0.0000
Y7 0.7233 0.1863 0.3841

Output
- E above lowest polymorph (meV per atom) = 0

***

# 2
This record from Alexandria via LeMat-Bulk describes crystalline Pm2Nd5Y at its relaxed geometry. The functional is PBE.

a b c (Å): 5.1723 7.3193 14.6694
angles (deg): 90.00 90.00 90.00
Element x y z (fractional)
Pm1 0.5000 0.2497 0.6245
Pm2 0.5000 0.7503 0.3755
Pm3 0.5000 0.2503 0.1245
Pm4 0.5000 0.7497 0.8755
Nd1 0.0000 0.0000 0.0000
Nd2 0.0000 0.5000 0.5000
Nd3 0.0000 0.4996 0.7507
Nd4 0.0000 0.5004 0.2493
Nd5 0.0000 0.0004 0.2507
Nd6 0.0000 0.9996 0.7493
Nd7 0.5000 0.2497 0.8756
Nd8 0.5000 0.7503 0.1244
Nd9 0.5000 0.2503 0.3756
Nd10 0.5000 0.7497 0.6244
Y1 0.0000 0.0000 0.5000
Y2 0.0000 0.5000 0.0000

***

# 3
This record from Alexandria via LeMat-Bulk describes crystalline Pm2Nd8Y at its relaxed geometry. The functional is PBE.

a b c (Å): 9.4550 10.2533 10.2533
angles (deg): 42.98 40.29 40.29
Element x y z (fractional)
Pm1 0.6519 0.8581 0.8581
Pm2 0.3481 0.1419 0.1419
Nd1 0.1410 0.3512 0.7830
Nd2 0.8590 0.2170 0.6488
Nd3 0.2659 0.6818 0.6818
Nd4 0.7341 0.3182 0.3182
Nd5 0.1410 0.7830 0.3512
Nd6 0.8590 0.6488 0.2170
Nd7 0.6201 0.6889 0.6889
Nd8 0.3799 0.3111 0.3111
Y1 0.0000 0.0000 0.0000

Output
- E above lowest polymorph (meV per atom) = 0

***

# 4
This record from Alexandria via LeMat-Bulk describes crystalline Pm5NdY3 at its relaxed geometry. The functional is PBE.

a b c (Å): 9.4424 9.4424 12.8703
angles (deg): 52.07 52.07 51.55
Element x y z (fractional)
Pm1 0.9148 0.5112 0.2237
Pm2 0.3175 0.6825 0.0000
Pm3 0.6306 0.6306 0.0645
Pm4 0.4406 0.4406 0.4275
Pm5 0.5594 0.5594 0.5725
Pm6 0.3694 0.3694 0.9355
Pm7 0.5112 0.9148 0.2237
Pm8 0.6825 0.3175 0.0000
Pm9 0.0852 0.4888 0.7763
Pm10 0.4888 0.0852 0.7763
Nd1 0.8920 0.8920 0.8702
Nd2 0.1080 0.1080 0.1298
Y1 0.7007 0.7007 0.6873
Y2 0.8365 0.8365 0.3434
Y3 0.0000 0.0000 0.0000
Y4 0.0000 0.0000 0.5000
Y5 0.2993 0.2993 0.3127
Y6 0.1635 0.1635 0.6566

Output
- E above lowest polymorph (meV per atom) = 237

***

Number 1: ΔH_f (0 K) 80 meV/atom, energy -5.672 eV/atom. Number 2: ΔH_f (0 K) 13 meV/atom, energy -4.963 eV/atom. Number 3: ΔH_f (0 K) 119 meV/atom, energy -4.800 eV/atom. Number 4: ΔH_f (0 K) 400 meV/atom, energy -4.924 eV/atom.